Crystalline Rb2V3CuF12 at its relaxed geometry. Source: Alexandria via LeMat-Bulk, functional PBE with a Hubbard U.

Total DFT energy (no corrections) (eV/atom): -5.50

a = 7.5579 Å, b = 7.5579 Å, c = 17.8710 Å
α = 90.00°, β = 90.00°, γ = 120.00°
Space group R-3m (No. 166, hexagonal axes)
One atom of each set of equivalent atoms:
Rb  0.0000  0.0000  0.1284
V  0.0000  0.5000  0.0000
Cu  0.0000  0.0000  0.5000
F  0.0350  0.5175  0.1076
F  0.0716  0.5358  0.3452